1.
The following is a DFT calculation (PBE-GGA) of crystalline Mg6BSbO8 at its relaxed geometry.

a b c (Å): 4.379 4.379 8.973
angles (deg): 90.00 90.00 90.00
Positions (direct):
Mg 0.000 0.000 0.500
Mg 0.500 0.500 0.500
Mg 0.000 0.500 0.263
Mg 0.000 0.500 0.737
Mg 0.500 0.000 0.263
Mg 0.500 0.000 0.737
B 0.000 0.000 0.000
Sb 0.500 0.500 0.000
O 0.000 0.000 0.271
O 0.000 0.000 0.729
O 0.500 0.500 0.265
O 0.500 0.500 0.735
O 0.000 0.500 0.000
O 0.000 0.500 0.500
O 0.500 0.000 0.000
O 0.500 0.000 0.500

Distance to the lowest polymorph of the same formula (kJ/mol of formula units): 0
E_tot (eV for the cell shown): -89.8
M_tot (μB per formula unit): 0.00
Fermi-level density of states (states/eV per cell): 0.112

***

2.
The following is a DFT calculation (PBE-GGA) of crystalline Mg6BSbO8 at its relaxed geometry.

a b c (Å): 4.393 4.393 8.974
angles (deg): 90.00 90.00 90.00
Positions (direct):
Mg 0.500 0.500 0.000
Mg 0.500 0.500 0.500
Mg 0.000 0.500 0.225
Mg 0.000 0.500 0.775
Mg 0.500 0.000 0.225
Mg 0.500 0.000 0.775
B 0.000 0.000 0.000
Sb 0.000 0.000 0.500
O 0.000 0.000 0.249
O 0.000 0.000 0.751
O 0.500 0.500 0.250
O 0.500 0.500 0.750
O 0.000 0.500 0.000
O 0.000 0.500 0.500
O 0.500 0.000 0.000
O 0.500 0.000 0.500

Distance to the lowest polymorph of the same formula (kJ/mol of formula units): 37
E_tot (eV for the cell shown): -89.4
M_tot (μB per formula unit): 0.00
Fermi-level density of states (states/eV per cell): 0.848

***

3.
The following is a DFT calculation (PBE-GGA) of crystalline MgScBO4 at its relaxed geometry.

a b c (Å): 3.254 9.525 9.529
angles (deg): 90.00 90.00 90.00
Positions (direct):
Mg 0.500 0.440 0.099
Mg 0.500 0.560 0.599
Mg 0.500 0.816 0.121
Mg 0.500 0.184 0.621
Sc 0.000 0.054 0.902
Sc 0.000 0.946 0.402
Sc 0.000 0.666 0.893
Sc 0.000 0.334 0.393
B 0.500 0.129 0.173
B 0.500 0.871 0.673
B 0.000 0.375 0.826
B 0.000 0.625 0.326
O 0.500 0.367 0.511
O 0.500 0.633 0.011
O 0.000 0.132 0.488
O 0.000 0.868 0.988
O 0.500 0.259 0.234
O 0.500 0.741 0.734
O 0.000 0.242 0.765
O 0.000 0.758 0.265
O 0.500 0.118 0.027
O 0.500 0.882 0.527
O 0.000 0.393 0.969
O 0.000 0.607 0.469
O 0.500 0.003 0.250
O 0.500 0.997 0.750
O 0.000 0.497 0.742
O 0.000 0.503 0.242

E_tot (eV for the cell shown): -220.4
M_tot (μB per formula unit): 0.00
Fermi-level density of states (states/eV per cell): 0.000

***

4.
The following is a DFT calculation (PBE-GGA) of crystalline MgB2SeO6 at its relaxed geometry.

a b c (Å): 4.936 6.190 6.190
angles (deg): 84.48 78.04 78.04
Positions (direct):
Mg 0.250 0.901 0.099
Mg 0.750 0.099 0.901
B 0.263 0.789 0.620
B 0.237 0.380 0.211
B 0.737 0.211 0.380
B 0.763 0.620 0.789
Se 0.250 0.283 0.717
Se 0.750 0.717 0.283
O 0.163 0.999 0.774
O 0.337 0.226 0.001
O 0.837 0.001 0.226
O 0.663 0.774 0.999
O 0.361 0.865 0.394
O 0.139 0.606 0.135
O 0.639 0.135 0.606
O 0.861 0.394 0.865
O 0.998 0.704 0.639
O 0.502 0.361 0.296
O 0.002 0.296 0.361
O 0.498 0.639 0.704

E_tot (eV for the cell shown): -133.0
M_tot (μB per formula unit): 0.00
Fermi-level density of states (states/eV per cell): 0.000

***

5.
The following is a DFT calculation (PBE-GGA) of crystalline Mg6SiBO8 at its relaxed geometry.

a b c (Å): 4.188 4.188 8.899
angles (deg): 90.00 90.00 90.00
Each line ends with the local moment (μB).
Positions (direct):
Mg 0.500 0.500 0.000  0.00
Mg 0.500 0.500 0.500  0.00
Mg 0.000 0.500 0.266  0.00
Mg 0.000 0.500 0.734  0.00
Mg 0.500 0.000 0.266  0.00
Mg 0.500 0.000 0.734  0.00
Si 0.000 0.000 0.000  0.01
B 0.000 0.000 0.500  0.10
O 0.000 0.000 0.193  0.00
O 0.000 0.000 0.807  0.00
O 0.500 0.500 0.251  0.00
O 0.500 0.500 0.749  0.00
O 0.000 0.500 0.000  0.00
O 0.000 0.500 0.500  0.02
O 0.500 0.000 0.000  0.00
O 0.500 0.000 0.500  0.02

Distance to the lowest polymorph of the same formula (kJ/mol of formula units): 0
E_tot (eV for the cell shown): -93.4
M_tot (μB per formula unit): 0.28
Fermi-level density of states (states/eV per cell): 2.379

***

6.
The following is a DFT calculation (PBE-GGA) of crystalline MgSi2BO6 at its relaxed geometry.

a b c (Å): 5.347 6.543 6.543
angles (deg): 85.45 75.89 75.89
Each line ends with the local moment (μB).
Positions (direct):
Mg 0.250 0.884 0.116  0.00
Mg 0.750 0.116 0.884  0.00
Si 0.301 0.804 0.613  0.00
Si 0.199 0.387 0.196  0.00
Si 0.699 0.196 0.387  0.00
Si 0.801 0.613 0.804  0.00
B 0.250 0.200 0.800  0.42
B 0.750 0.800 0.200  0.42
O 0.175 0.000 0.795  0.02
O 0.325 0.205 0.000  0.02
O 0.825 0.000 0.205  0.02
O 0.675 0.795 0.000  0.02
O 0.367 0.892 0.375  0.06
O 0.133 0.625 0.108  0.06
O 0.633 0.108 0.625  0.06
O 0.867 0.375 0.892  0.06
O 0.055 0.687 0.652  0.01
O 0.445 0.348 0.313  0.01
O 0.945 0.313 0.348  0.01
O 0.555 0.652 0.687  0.01

E_tot (eV for the cell shown): -143.5
M_tot (μB per formula unit): 1.00

***

Question: Look up the M_tot of the sixth one.
Answer: 1.00 μB per formula unit

***

Question: Among the records above, which one has the lowest E_tot?
Answer: MgScBO4